Record 1
# Ce3As2Cl2 (GGA-PBE, optimized geometry)
data_Ce3As2Cl2
_cell_length_a 7.283
_cell_length_b 7.283
_cell_length_c 7.420
_cell_angle_alpha 102.82
_cell_angle_beta 102.82
_cell_angle_gamma 33.38
_symmetry_space_group_name_H-M 'P 1'
_symmetry_Int_Tables_number 1
loop_
_symmetry_equiv_pos_as_xyz
'x,y,z'
loop_
_atom_site_label
_atom_site_type_symbol
_atom_site_fract_x
_atom_site_fract_y
_atom_site_fract_z
Ce1 Ce 0.000 0.000 0.000
Ce2 Ce 0.238 0.238 0.762
Ce3 Ce 0.762 0.762 0.238
As1 As 0.381 0.381 0.125
As2 As 0.619 0.619 0.875
Cl1 Cl 0.140 0.140 0.363
Cl2 Cl 0.860 0.860 0.637
# final energy	-5.934	eV per atom

=====

Record 2
# Ce3As2Cl (GGA-PBE, optimized geometry)
data_Ce3As2Cl
_cell_length_a 7.211
_cell_length_b 7.211
_cell_length_c 7.211
_cell_angle_alpha 146.09
_cell_angle_beta 131.68
_cell_angle_gamma 60.34
_symmetry_space_group_name_H-M 'P 1'
_symmetry_Int_Tables_number 1
loop_
_symmetry_equiv_pos_as_xyz
'x,y,z'
loop_
_atom_site_label
_atom_site_type_symbol
_atom_site_fract_x
_atom_site_fract_y
_atom_site_fract_z
Ce1 Ce 0.000 0.000 0.000
Ce2 Ce 0.331 0.331 0.000
Ce3 Ce 0.669 0.669 0.000
As1 As 0.166 0.666 0.500
As2 As 0.834 0.334 0.500
Cl1 Cl 0.500 0.000 0.500
# final energy	-6.299	eV per atom

=====

Record 3
# CeAsCl (GGA-PBE, optimized geometry)
data_CeAsCl
_cell_length_a 4.647
_cell_length_b 4.647
_cell_length_c 3.885
_cell_angle_alpha 90.00
_cell_angle_beta 90.00
_cell_angle_gamma 120.00
_symmetry_space_group_name_H-M 'P 1'
_symmetry_Int_Tables_number 1
loop_
_symmetry_equiv_pos_as_xyz
'x,y,z'
loop_
_atom_site_label
_atom_site_type_symbol
_atom_site_fract_x
_atom_site_fract_y
_atom_site_fract_z
Ce1 Ce 0.000 0.000 0.000
As1 As 0.667 0.333 0.498
Cl1 Cl 0.333 0.667 0.997
# energy above the lowest structure with this stoichiometry	0.78	eV per formula unit